Record 1
Material: LiCeGdAu
Method: DFT, PBE-GGA
State: relaxed

a b c (Å): 7.3442 7.3442 7.3442
angles (deg): 90.00 90.00 90.00
Space group F-43m (No. 216)
One atom of each set of equivalent atoms:
Li 0.0000 0.0000 0.0000 (multiplicity 4)
Ce 0.2500 0.2500 0.7500 (multiplicity 4)
Gd 0.2500 0.2500 0.2500 (multiplicity 4)
Au 0.0000 0.0000 0.5000 (multiplicity 4)

Uncorrected energy = -6.560 eV per atom
Total magnetic moment = 26.13 Bohr magnetons per cell
DOS at the Fermi energy = 9.5 states/eV/f.u.


Record 2
Material: CeGdNiAu
Method: DFT, PBE-GGA
State: relaxed

a b c (Å): 7.1316 7.1316 7.1316
angles (deg): 90.00 90.00 90.00
Space group F-43m (No. 216)
One atom of each set of equivalent atoms:
Ce 0.0000 0.0000 0.0000 (multiplicity 4)
Gd 0.0000 0.0000 0.5000 (multiplicity 4)
Ni 0.2500 0.2500 0.7500 (multiplicity 4)
Au 0.2500 0.2500 0.2500 (multiplicity 4)

Uncorrected energy = -7.710 eV per atom
Total magnetic moment = 31.52 Bohr magnetons per cell
DOS at the Fermi energy = 7.7 states/eV/f.u.


Per-record energy of formation from the pure elements, eV/atom: -0.2587 -0.4413